# 1
CaHg2Se | PBE | relaxed

## Properties
The crystal system is orthorhombic. As for the energy relative to the elements, uncorrected: -649.1 meV/atom. The mass density is 8.25 g/cm3. Its electronic total energy is -2.172 eV/atom.

Lattice parameters (Å, degrees): 5.3545 5.3545 5.3545 122.31 122.07 86.25
Closest atoms and distances in Å follow each position.
Positions (direct):
Ca: 0.0000 0.0000 0.0000  4 Se 3.23-3.25, 4 Hg 3.24
Hg: 0.2506 0.7506 0.5000  4 Hg 3.24-3.25, 4 Ca 3.24
Hg: 0.5008 0.5008 0.0000  4 Hg 3.24-3.25, 4 Se 3.24-3.25
Se: 0.7512 0.2512 0.5000  4 Ca 3.23-3.25, 4 Hg 3.24-3.25


# 2
CaSn2HgSe4 | PBE | relaxed

## Properties
The crystal system is monoclinic. As for the energy relative to the elements, uncorrected: -708.5 meV/atom. The mass density is 6.13 g/cm3. Its electronic total energy is -3.739 eV/atom.

Lattice parameters (Å, degrees): 7.3747 4.2105 7.3944 90.00 110.62 90.00
Closest atoms and distances in Å follow each position.
Positions (direct):
Ca: 0.0000 0.0000 0.0000  6 Se 2.95-3.01
Sn: 0.0000 0.5000 0.5000  6 Se 2.97-2.99
Sn: 0.5000 0.0000 0.5000  6 Se 3.01-3.06
Hg: 0.5000 0.5000 0.0000  6 Se 2.96-3.11
Se: 0.2391 0.5000 0.2508  2 Ca 2.95, 3 Sn 2.97-3.01, 1 Hg 3.11
Se: 0.2508 0.0000 0.7549  2 Hg 2.96, 3 Sn 2.99-3.06, 1 Ca 3.01
Se: 0.7492 0.0000 0.2451  2 Hg 2.96, 3 Sn 2.99-3.06, 1 Ca 3.01
Se: 0.7609 0.5000 0.7492  2 Ca 2.95, 3 Sn 2.97-3.01, 1 Hg 3.11


# 3
CaTi2HgSe | PBE | relaxed

## Properties
The crystal system is tetragonal. As for the energy relative to the elements, uncorrected: 680.8 meV/atom. The mass density is 4.64 g/cm3. Its electronic total energy is -3.635 eV/atom.

Lattice parameters (Å, degrees): 5.1367 5.1367 5.6350 90.00 90.00 90.00
Closest atoms and distances in Å follow each position.
Positions (direct):
Ca: 0.0000 0.0000 0.0000  4 Se 3.63, 8 Ti 3.81
Ti: 0.0000 0.5000 0.5000  2 Hg 2.57
Ti: 0.5000 0.0000 0.5000  2 Hg 2.57
Hg: 0.5000 0.5000 0.5000  4 Ti 2.57, 2 Se 2.82
Se: 0.5000 0.5000 0.0000  2 Hg 2.82


# 4
CaZr2HgSe | PBE | relaxed

## Properties
The crystal system is tetragonal. As for the energy relative to the elements, uncorrected: 1054.3 meV/atom. The mass density is 5.95 g/cm3. Its electronic total energy is -3.523 eV/atom.

Lattice parameters (Å, degrees): 5.2334 5.2334 5.1177 90.00 90.00 90.00
Closest atoms and distances in Å follow each position.
Positions (direct):
Ca: 0.0000 0.0000 0.0000  2 Se 2.56, 4 Zr 2.62
Zr: 0.0000 0.5000 0.0000  2 Ca 2.62
Zr: 0.5000 0.0000 0.0000  2 Ca 2.62
Hg: 0.5000 0.5000 0.5000  8 Zr 3.66, 4 Se 3.70
Se: 0.0000 0.0000 0.5000  2 Ca 2.56


> What is the electronic total energy in the second record?

-3.739 eV/atom


> Among the records above, which one has the highest mass density?

CaHg2Se


What did the fourth record say?
CaZr2HgSe | PBE | relaxed

## Properties
The crystal system is tetragonal. As for the energy relative to the elements, uncorrected: 1054.3 meV/atom. The mass density is 5.95 g/cm3. Its electronic total energy is -3.523 eV/atom.

Lattice parameters (Å, degrees): 5.2334 5.2334 5.1177 90.00 90.00 90.00
Closest atoms and distances in Å follow each position.
Positions (direct):
Ca: 0.0000 0.0000 0.0000  2 Se 2.56, 4 Zr 2.62
Zr: 0.0000 0.5000 0.0000  2 Ca 2.62
Zr: 0.5000 0.0000 0.0000  2 Ca 2.62
Hg: 0.5000 0.5000 0.5000  8 Zr 3.66, 4 Se 3.70
Se: 0.0000 0.0000 0.5000  2 Ca 2.56


> Among the records above, which one has the lowest energy relative to the elements, uncorrected?

CaSn2HgSe4